No. 1
Below is a relaxed TbPm6PrEr2 crystal, with properties calculated at the PBE level.

Cell and atoms, written as POSCAR:
```
TbPm6PrEr2
1.0
-3.361 8.425 -3.439
0.012 -3.971 -7.981
-7.063 -1.390 5.258
Pm Tb Er Pr
12 2 4 2
Direct
0.818 0.435 0.982
0.555 0.759 0.111
0.445 0.241 0.889
0.120 0.705 0.489
0.682 0.018 0.565
0.182 0.565 0.018
0.945 0.889 0.241
0.380 0.511 0.295
0.880 0.295 0.511
0.318 0.982 0.435
0.055 0.111 0.759
0.620 0.489 0.705
0.750 0.030 0.970
0.250 0.970 0.030
0.547 0.196 0.293
0.453 0.804 0.707
0.953 0.707 0.804
0.047 0.293 0.196
0.250 0.406 0.594
0.750 0.594 0.406
```

Summary:
energy: -4.587 eV per atom



No. 2
Below is a relaxed Nd7SiSe5 crystal, with properties calculated at the PBE level.

Cell and atoms, written as POSCAR:
```
Nd7SiSe5
1.0
4.190 0.000 0.000
-2.095 6.907 0.006
0.000 -0.037 24.881
Nd Se Si
14 10 2
Direct
0.804 0.609 0.818
0.639 0.277 0.462
0.362 0.724 0.962
0.639 0.279 0.038
0.092 0.185 0.617
0.196 0.391 0.318
0.537 0.074 0.750
0.907 0.815 0.383
0.361 0.723 0.538
0.197 0.393 0.182
0.909 0.818 0.117
0.804 0.609 0.682
0.464 0.928 0.250
0.093 0.185 0.883
0.277 0.554 0.072
0.724 0.448 0.928
0.001 0.001 0.000
0.276 0.553 0.428
0.447 0.894 0.644
0.447 0.894 0.856
0.724 0.447 0.572
0.554 0.108 0.145
0.000 0.000 0.500
0.553 0.106 0.356
0.812 0.623 0.251
0.189 0.378 0.750
```

Summary:
energy relative to the elements, uncorrected: -1525.4 meV per atom



No. 3
Below is a relaxed CaCrTc2 crystal, with properties calculated at the PBE level.

Cell and atoms, written as POSCAR:
```
CaCrTc2
1.0
-2.502 -0.077 1.407
0.994 -3.411 1.580
6.575 6.445 9.774
Tc Ca Cr
4 2 2
Direct
0.014 0.250 0.640
0.363 0.250 0.280
0.986 0.750 0.360
0.637 0.750 0.720
0.778 0.750 0.122
0.222 0.250 0.878
0.625 0.250 0.467
0.375 0.750 0.533
```

Summary:
ΔE to the lowest computed polymorph: 106 meV per atom



No. 4
Below is a relaxed Y3Be crystal, with properties calculated at the PBE level.

Cell and atoms, written as POSCAR:
```
Y3Be
1.0
5.793 0.013 0.000
2.059 5.414 0.000
-3.926 -2.714 3.283
Be Y
1 3
Direct
0.000 0.000 0.000
0.500 0.500 0.000
0.750 0.250 0.500
0.250 0.750 0.500
```

Summary:
ΔE to the lowest computed polymorph: 231 meV per atom



No. 5
Below is a relaxed HoScGeRu crystal, with properties calculated at the PBE level.

Cell and atoms, written as POSCAR:
```
HoScGeRu
1.0
-4.408 -1.825 -0.195
-1.857 -2.169 3.827
-3.551 2.071 2.429
Sc Ho Ru Ge
1 1 1 1
Direct
0.000 0.000 0.000
0.500 0.500 0.500
0.250 0.250 0.250
0.750 0.750 0.750
```

Summary:
energy: -6.733 eV per atom



No. 6
Below is a relaxed Pr2Tm7Sc crystal, with properties calculated at the PBE level.

Cell and atoms, written as POSCAR:
```
Pr2Tm7Sc
1.0
3.440 0.000 0.000
0.000 13.801 -4.715
0.000 -10.434 10.189
Tm Pr Sc
7 2 1
Direct
0.500 0.662 0.852
0.500 0.338 0.148
0.500 0.148 0.338
0.000 0.182 0.818
0.500 0.852 0.662
0.500 0.500 0.500
0.000 0.818 0.182
0.500 0.708 0.292
0.500 0.292 0.708
0.000 0.000 0.000
```

Summary:
energy: -4.547 eV per atom



No. 7
Below is a relaxed NaSmMg4 crystal, with properties calculated at the PBE level.

Cell and atoms, written as POSCAR:
```
NaSmMg4
1.0
-3.221 4.918 -1.692
-1.663 0.705 -5.845
-5.874 -0.593 -1.601
Mg Sm Na
4 1 1
Direct
0.626 0.626 0.626
0.626 0.626 0.123
0.626 0.123 0.626
0.123 0.626 0.626
0.000 0.000 0.000
0.250 0.250 0.250
```

Summary:
energy: -2.037 eV per atom



No. 8
Below is a relaxed LaNdI2 crystal, with properties calculated at the PBE level.

Cell and atoms, written as POSCAR:
```
LaNdI2
1.0
-1.241 3.443 -1.395
0.467 0.859 -3.792
-9.106 -2.563 -3.723
I La Nd
2 1 1
Direct
0.251 0.251 0.247
0.749 0.749 0.753
0.500 0.500 0.500
0.000 0.000 0.000
```

Summary:
energy relative to the elements, uncorrected: -901.1 meV per atom
ΔE to the lowest computed polymorph: 42 meV per atom



No. 9
Below is a relaxed Mg2AlTe crystal, with properties calculated at the PBE level.

Cell and atoms, written as POSCAR:
```
Mg2AlTe
1.0
3.836 0.000 0.000
0.000 3.780 -0.004
0.000 3.724 6.314
Mg Te Al
2 1 1
Direct
0.000 0.488 0.511
0.000 0.012 0.989
0.500 0.250 0.250
0.500 0.750 0.750
```

Summary:
energy relative to the elements, uncorrected: -135.6 meV per atom
ΔE to the lowest computed polymorph: 4 meV per atom



No. 10
Below is a relaxed NaSrTi2Cd crystal, with properties calculated at the PBE level.

Cell and atoms, written as POSCAR:
```
NaSrTi2Cd
1.0
-4.141 2.493 1.507
-1.886 -4.438 2.160
2.285 1.156 4.368
Ti Sr Na Cd
2 1 1 1
Direct
0.000 0.000 0.500
0.500 0.000 0.000
0.000 0.000 0.000
0.000 0.500 0.000
0.500 0.500 0.500
```

Summary:
energy: -2.330 eV per atom



No. 11
Below is a relaxed Hf2BeH6 crystal, with properties calculated at the PBE level.

Cell and atoms, written as POSCAR:
```
Hf2BeH6
1.0
-1.349 1.172 2.425
-3.546 0.441 -0.315
-3.774 -6.079 2.710
H Hf Be
6 2 1
Direct
0.196 0.735 0.872
0.675 0.241 0.410
0.325 0.759 0.590
0.084 0.619 0.213
0.916 0.381 0.787
0.804 0.265 0.128
0.374 0.944 0.308
0.626 0.056 0.692
0.000 0.000 0.000
```

Summary:
energy: -5.052 eV per atom



No. 12
Below is a relaxed Ba2TlAgPt crystal, with properties calculated at the PBE level.

Cell and atoms, written as POSCAR:
```
Ba2TlAgPt
1.0
-4.805 2.934 2.267
-3.178 -5.170 -0.044
1.654 -1.059 4.875
Tl Ba Ag Pt
1 2 1 1
Direct
0.500 0.500 0.500
0.500 0.000 0.000
0.000 0.500 0.000
0.000 0.000 0.500
0.000 0.000 0.000
```

Summary:
ΔE to the lowest computed polymorph: 46 meV per atom



No. 13
Below is a relaxed CuGeAs2 crystal, with properties calculated at the PBE level.

Cell and atoms, written as POSCAR:
```
CuGeAs2
1.0
0.000 3.270 3.270
3.270 0.000 3.270
3.270 3.270 0.000
As Ge Cu
2 1 1
Direct
0.250 0.250 0.250
0.750 0.750 0.750
0.500 0.500 0.500
0.000 0.000 0.000
```

Summary:
ΔE to the lowest computed polymorph: 389 meV per atom



No. 14
Below is a relaxed RbIn3Mo crystal, with properties calculated at the PBE level.

Cell and atoms, written as POSCAR:
```
RbIn3Mo
1.0
-4.713 3.191 -2.236
-1.521 -4.738 -3.554
-3.587 -2.183 4.446
Mo Rb In
1 1 3
Direct
0.500 0.500 0.500
0.000 0.000 0.000
0.000 0.500 0.000
0.500 0.000 0.000
0.000 0.000 0.500
```

Summary:
ΔE to the lowest computed polymorph: 1633 meV per atom



No. 15
Below is a relaxed Li2FeTc crystal, with properties calculated at the PBE level.

Cell and atoms, written as POSCAR:
```
Li2FeTc
1.0
5.082 -0.008 0.000
2.862 4.199 0.000
-3.972 -2.096 2.378
Li Fe Tc
2 1 1
Direct
0.500 0.500 0.000
0.000 0.000 0.000
0.750 0.250 0.500
0.250 0.750 0.500
```

Summary:
ΔE to the lowest computed polymorph: 151 meV per atom



No. 16
Below is a relaxed LiMgTlZn crystal, with properties calculated at the PBE level.

Cell and atoms, written as POSCAR:
```
LiMgTlZn
1.0
4.826 0.000 0.000
2.413 4.179 0.000
2.413 1.393 3.940
Zn Mg Tl Li
1 1 1 1
Direct
0.000 0.000 0.000
0.750 0.750 0.750
0.500 0.500 0.500
0.250 0.250 0.250
```

Summary:
ΔE to the lowest computed polymorph: 10 meV per atom



No. 17
Below is a relaxed Be4AgRh crystal, with properties calculated at the PBE level.

Cell and atoms, written as POSCAR:
```
Be4AgRh
1.0
0.000 3.142 3.142
3.142 0.000 3.142
3.142 3.142 0.000
Be Rh Ag
4 1 1
Direct
0.376 0.376 0.873
0.376 0.376 0.376
0.376 0.873 0.376
0.873 0.376 0.376
0.750 0.750 0.750
0.000 0.000 0.000
```

Summary:
energy: -4.385 eV per atom



No. 18
Below is a relaxed LaSiHg2 crystal, with properties calculated at the PBE level.

Cell and atoms, written as POSCAR:
```
LaSiHg2
1.0
-4.224 -0.963 -0.902
0.545 -4.028 1.749
-1.371 1.779 4.522
La Si Hg
1 1 2
Direct
0.500 0.000 0.500
0.000 0.500 0.500
0.000 0.000 0.000
0.500 0.500 0.000
```

Summary:
energy relative to the elements, uncorrected: -295.3 meV per atom